A plane-wave DFT calculation with PBE was carried out for a relaxed structure of AsPCI.

The structure in POSCAR format:
```
AsPCI
1.0
3.728 0.000 0.000
-0.020 6.127 0.000
-1.852 -2.954 6.402
As P C I
1 1 1 1
direct
0.000 0.000 0.000 As
0.756 0.967 0.509 P
0.871 0.954 0.741 C
0.626 0.535 0.253 I
```

Properties
Formation energy without anion corrections, eV/atom: 0.7754
Energy relative to the lowest polymorph listed for this composition, meV/atom: 374



A plane-wave DFT calculation with PBE was carried out for a relaxed structure of Cd2GeN.

The structure in POSCAR format:
```
Cd2GeN
1.0
6.235 0.000 0.000
0.000 6.235 0.000
0.000 0.000 8.852
Cd Ge N
8 4 4
direct
0.165 0.250 0.125 Cd
0.250 0.665 0.375 Cd
0.250 0.835 0.875 Cd
0.335 0.250 0.625 Cd
0.665 0.750 0.625 Cd
0.750 0.165 0.875 Cd
0.750 0.335 0.375 Cd
0.835 0.750 0.125 Cd
0.000 0.000 0.500 Ge
0.000 0.500 0.750 Ge
0.500 0.000 0.250 Ge
0.500 0.500 0.000 Ge
0.000 0.000 0.000 N
0.000 0.500 0.250 N
0.500 0.000 0.750 N
0.500 0.500 0.500 N
```

Properties
Formation energy without anion corrections, eV/atom: 0.6384
Energy relative to the lowest polymorph listed for this composition, meV/atom: 0



A plane-wave DFT calculation with PBE was carried out for a relaxed structure of Ba2AlZn.

The structure in POSCAR format:
```
Ba2AlZn
1.0
4.328 0.000 0.000
-2.164 3.748 0.000
0.000 0.000 29.745
Ba Al Zn
6 3 3
direct
0.000 0.000 0.249 Ba
0.000 0.000 0.751 Ba
0.333 0.667 0.418 Ba
0.333 0.667 0.916 Ba
0.667 0.333 0.084 Ba
0.667 0.333 0.582 Ba
0.000 0.000 0.000 Al
0.333 0.667 0.667 Al
0.667 0.333 0.333 Al
0.000 0.000 0.500 Zn
0.333 0.667 0.167 Zn
0.667 0.333 0.833 Zn
```

Properties
ΔE_f, eV/atom: 0.13



A plane-wave DFT calculation with PBE was carried out for a relaxed structure of La2ReC4.

The structure in POSCAR format:
```
La2ReC4
1.0
4.056 0.000 0.000
0.000 4.056 0.000
0.000 0.000 13.127
La Re C
4 2 8
direct
0.000 0.000 0.143 La
0.000 0.000 0.857 La
0.500 0.500 0.357 La
0.500 0.500 0.643 La
0.000 0.000 0.500 Re
0.500 0.500 0.000 Re
0.000 0.000 0.340 C
0.000 0.000 0.660 C
0.000 0.500 0.000 C
0.000 0.500 0.500 C
0.500 0.000 0.000 C
0.500 0.000 0.500 C
0.500 0.500 0.160 C
0.500 0.500 0.840 C
```

Properties
ΔE_f, eV/atom: 0.42



A plane-wave DFT calculation with PBE was carried out for a relaxed structure of DySc3Se6.

The structure in POSCAR format:
```
DySc3Se6
1.0
11.194 0.000 0.000
0.000 3.925 0.000
-3.851 0.000 10.717
Dy Sc Se
2 6 12
direct
0.048 0.250 0.199 Dy
0.952 0.750 0.801 Dy
0.159 0.250 0.587 Sc
0.316 0.750 0.002 Sc
0.439 0.250 0.336 Sc
0.561 0.750 0.664 Sc
0.684 0.250 0.998 Sc
0.841 0.750 0.413 Sc
0.082 0.750 0.408 Se
0.116 0.250 0.967 Se
0.201 0.750 0.751 Se
0.263 0.750 0.229 Se
0.392 0.250 0.560 Se
0.476 0.250 0.115 Se
0.524 0.750 0.885 Se
0.608 0.750 0.440 Se
0.737 0.250 0.771 Se
0.799 0.250 0.249 Se
0.884 0.750 0.033 Se
0.918 0.250 0.592 Se
```

Properties
Formation energy without anion corrections, eV/atom: -1.7219



A plane-wave DFT calculation with PBE was carried out for a relaxed structure of Sc2TlMo.

The structure in POSCAR format:
```
Sc2TlMo
1.0
5.253 0.000 0.000
0.000 3.074 0.000
-2.268 0.000 5.135
Sc Tl Mo
2 1 1
direct
0.000 0.000 0.000 Sc
0.000 0.500 0.500 Sc
0.500 0.000 0.500 Tl
0.500 0.500 0.000 Mo
```

Properties
ΔE_f, eV/atom: 0.22
Energy relative to the lowest polymorph listed for this composition, meV/atom: 286



A plane-wave DFT calculation with PBE was carried out for a relaxed structure of TbSmYZn.

The structure in POSCAR format:
```
TbSmYZn
1.0
3.592 0.000 0.000
0.000 3.592 0.000
0.000 0.000 8.701
Tb Sm Y Zn
1 1 1 1
direct
0.000 0.000 0.000 Tb
0.500 0.500 0.706 Sm
0.000 0.000 0.408 Y
0.500 0.500 0.205 Zn
```

Properties
ΔE_f, eV/atom: -0.16



A plane-wave DFT calculation with PBE was carried out for a relaxed structure of YW2Au.

The structure in POSCAR format:
```
YW2Au
1.0
3.899 0.000 0.000
0.000 3.899 0.000
0.000 0.000 21.489
Y W Au
4 8 4
direct
0.000 0.000 0.000 Y
0.000 0.500 0.250 Y
0.500 0.000 0.750 Y
0.500 0.500 0.500 Y
0.245 0.250 0.125 W
0.250 0.745 0.375 W
0.250 0.755 0.875 W
0.255 0.250 0.625 W
0.745 0.750 0.625 W
0.750 0.245 0.875 W
0.750 0.255 0.375 W
0.755 0.750 0.125 W
0.000 0.000 0.500 Au
0.000 0.500 0.750 Au
0.500 0.000 0.250 Au
0.500 0.500 0.000 Au
```

Properties
ΔE_f, eV/atom: 0.65
Energy relative to the lowest polymorph listed for this composition, meV/atom: 509